[1]
Li3In2Au3: relaxed, PBE.

Geometry as CIF:
```
data_Li3In2Au3
_chemical_formula_sum 'Li9 In6 Au9'
_cell_length_a 4.6548
_cell_length_b 4.6548
_cell_length_c 22.9830
_cell_angle_alpha 90.00
_cell_angle_beta 90.00
_cell_angle_gamma 120.00
_space_group_name_H-M_alt 'R 3 m'
_space_group_IT_number 160
_space_group_name_Hall 'R 3 -2"'
loop_
_atom_site_label
_atom_site_type_symbol
_atom_site_fract_x
_atom_site_fract_y
_atom_site_fract_z
_atom_site_occupancy
Li1 Li 0.0000 0.0000 0.0000 1
Li2 Li 0.0000 0.0000 0.1298 1
Li3 Li 0.0000 0.0000 0.5079 1
In1 In 0.0000 0.0000 0.2569 1
In2 In 0.0000 0.0000 0.7522 1
Au1 Au 0.0000 0.0000 0.3851 1
Au2 Au 0.0000 0.0000 0.6302 1
Au3 Au 0.0000 0.0000 0.8727 1
```

Values from the calculation:
As for the total magnetization: 0.000 Bohr magnetons per cell.

***

[2]
Li14InAu: relaxed, PBE.

Geometry as CIF:
```
data_Li14InAu
_chemical_formula_sum 'Li14 In1 Au1'
_cell_length_a 6.752
_cell_length_b 6.752
_cell_length_c 6.423
_cell_angle_alpha 90.00
_cell_angle_beta 90.00
_cell_angle_gamma 90.00
_space_group_name_H-M_alt 'P 4/m m m'
_space_group_IT_number 123
_space_group_name_Hall '-P 4 2'
loop_
_atom_site_label
_atom_site_type_symbol
_atom_site_fract_x
_atom_site_fract_y
_atom_site_fract_z
_atom_site_occupancy
Li1 Li 0.000 0.000 0.000 1
Li2 Li 0.000 0.500 0.000 1
Li3 Li 0.000 0.500 0.500 1
Li4 Li 0.238 0.238 0.266 1
Li5 Li 0.500 0.500 0.000 1
In1 In 0.500 0.500 0.500 1
Au1 Au 0.000 0.000 0.500 1
```

Values from the calculation:
As for the total magnetization: 0.000 Bohr magnetons per cell.

***

[3]
LiIn3Au: relaxed, PBE.

Geometry as CIF:
```
data_LiIn3Au
_chemical_formula_sum 'Li4 In12 Au4'
_cell_length_a 8.192
_cell_length_b 5.898
_cell_length_c 9.525
_cell_angle_alpha 90.00
_cell_angle_beta 107.35
_cell_angle_gamma 90.00
_space_group_name_H-M_alt 'P 1 21/c 1'
_space_group_IT_number 14
loop_
_space_group_symop_operation_xyz
'x,y,z'
'-x,-y,-z'
'-x,y+1/2,-z+1/2'
'x,-y+1/2,z+1/2'
loop_
_atom_site_label
_atom_site_type_symbol
_atom_site_fract_x
_atom_site_fract_y
_atom_site_fract_z
_atom_site_occupancy
Li1 Li 0.138 0.239 0.160 1
In1 In 0.104 0.737 0.146 1
In2 In 0.302 0.007 0.451 1
In3 In 0.495 0.507 0.685 1
Au1 Au 0.205 0.003 0.922 1
```

Values from the calculation:
As for the total magnetization: 0.000 Bohr magnetons per cell.

***

[4]
LiInAu6: relaxed, PBE.

Geometry as CIF:
```
data_LiInAu6
_chemical_formula_sum 'Li1 In1 Au6'
_cell_length_a 5.8522
_cell_length_b 5.8522
_cell_length_c 4.8499
_cell_angle_alpha 90.00
_cell_angle_beta 90.00
_cell_angle_gamma 120.00
_space_group_name_H-M_alt 'P -6 m 2'
_space_group_IT_number 187
_space_group_name_Hall 'P -6 2'
loop_
_atom_site_label
_atom_site_type_symbol
_atom_site_fract_x
_atom_site_fract_y
_atom_site_fract_z
_atom_site_occupancy
Li1 Li 0.0000 0.0000 0.0000 1
In1 In 0.6667 0.3333 0.5000 1
Au1 Au 0.0014 0.5007 0.0000 1
Au2 Au 0.1645 0.3290 0.5000 1
```

Values from the calculation:
As for the total magnetization: 0.000 Bohr magnetons per cell.

***

[5]
Li2In5Au: relaxed, PBE.

Geometry as CIF:
```
data_Li2In5Au
_chemical_formula_sum 'Li8 In20 Au4'
_cell_length_a 4.294
_cell_length_b 9.753
_cell_length_c 17.243
_cell_angle_alpha 90.00
_cell_angle_beta 90.00
_cell_angle_gamma 90.00
_space_group_name_H-M_alt 'C m c m'
_space_group_IT_number 63
_space_group_name_Hall '-C 2c 2'
loop_
_atom_site_label
_atom_site_type_symbol
_atom_site_fract_x
_atom_site_fract_y
_atom_site_fract_z
_atom_site_occupancy
Li1 Li 0.000 0.245 0.160 1
In1 In 0.000 0.048 0.600 1
In2 In 0.000 0.348 0.539 1
In3 In 0.000 0.462 0.750 1
Au1 Au 0.000 0.171 0.750 1
```

Values from the calculation:
As for the total magnetization: 0.000 Bohr magnetons per cell.

***

[6]
LiInAu2: relaxed, PBE.

Geometry as CIF:
```
data_LiInAu2
_chemical_formula_sum 'Li1 In1 Au2'
_cell_length_a 3.359
_cell_length_b 3.747
_cell_length_c 5.843
_cell_angle_alpha 90.00
_cell_angle_beta 90.00
_cell_angle_gamma 90.00
_space_group_name_H-M_alt 'P m m 2'
_space_group_IT_number 25
loop_
_space_group_symop_operation_xyz
'x,y,z'
'-x,-y,z'
'-x,y,z'
'x,-y,z'
loop_
_atom_site_label
_atom_site_type_symbol
_atom_site_fract_x
_atom_site_fract_y
_atom_site_fract_z
_atom_site_occupancy
Li1 Li 0.000 0.000 0.000 1
In1 In 0.500 0.500 0.711 1
Au1 Au 0.000 0.000 0.472 1
Au2 Au 0.500 0.500 0.191 1
```

Values from the calculation:
As for the total magnetization: 0.000 Bohr magnetons per cell.

***

E_form per entry: -0.4490, -0.1467, -0.2543, -0.2474, -0.2084, -0.3412 eV/atom